This record from Alexandria describes a geometry-optimized K3In2Au3 structure. The functional is GGA-PBE.

Summary:
**DFT total energy**: -2.642 eV per atom
**Formation energy**: -0.317 eV per atom
**Space group**: Pnma
**Magnetization**: 0.00 μB per formula unit
**Calculated density**: 6.10 g cm⁻³

Cell: 9.0652 16.2612 6.9233 Å, 90.00 90.00 90.00°
Atoms (fractional coordinates):
1 K 0.0297 0.1072 0.1293
2 K 0.0297 0.3928 0.1293
3 K 0.1912 0.2500 0.5819
4 K 0.3088 0.7500 0.0819
5 K 0.4703 0.6072 0.6293
6 K 0.4703 0.8928 0.6293
7 K 0.5297 0.1072 0.3707
8 K 0.5297 0.3928 0.3707
9 K 0.6912 0.2500 0.9181
10 K 0.8088 0.7500 0.4181
11 K 0.9703 0.6072 0.8707
12 K 0.9703 0.8928 0.8707
13 In 0.1164 0.5942 0.3891
14 In 0.1164 0.9058 0.3891
15 In 0.3836 0.0942 0.8891
16 In 0.3836 0.4058 0.8891
17 In 0.6164 0.5942 0.1109
18 In 0.6164 0.9058 0.1109
19 In 0.8836 0.0942 0.6109
20 In 0.8836 0.4058 0.6109
21 Au 0.1680 0.7500 0.5589
22 Au 0.1784 0.0417 0.6248
23 Au 0.1784 0.4583 0.6248
24 Au 0.3216 0.5417 0.1248
25 Au 0.3216 0.9583 0.1248
26 Au 0.3320 0.2500 0.0589
27 Au 0.6680 0.7500 0.9411
28 Au 0.6784 0.0417 0.8752
29 Au 0.6784 0.4583 0.8752
30 Au 0.8216 0.5417 0.3752
31 Au 0.8216 0.9583 0.3752
32 Au 0.8320 0.2500 0.4411